This record from Alexandria describes a relaxed Na3Mn2Br8 crystal. The functional is PBE-GGA.

Cell and atoms, written as POSCAR:
```
Na3Mn2Br8
1.0
7.0292 -4.0571 0.0000
7.0292 4.0571 0.0000
-2.2599 0.0000 6.8806
Na Mn Br
3 2 8
Direct
0.0000 0.0000 0.0000
0.2545 0.7455 0.5000
0.7455 0.2545 0.5000
0.2458 0.2458 0.4937
0.7542 0.7542 0.5063
0.1042 0.6179 0.7255
0.1403 0.1403 0.7192
0.3572 0.3572 0.2881
0.3821 0.8958 0.2745
0.6179 0.1042 0.7255
0.6428 0.6428 0.7119
0.8597 0.8597 0.2808
0.8958 0.3821 0.2745
```

## Properties
Symmetry: C2/m, No. 12
Magnetic moment: 9.0 Bohr magnetons per cell
Raw formation energy: -1.05 eV per atom
D(E_F): 0.417 states/eV/atom
Crystal system: monoclinic



This record from Alexandria describes a relaxed Nd3GeRu crystal. The functional is PBE-GGA.

Cell and atoms, written as POSCAR:
```
Nd3GeRu
1.0
7.2228 -2.2594 0.0000
7.2228 2.2594 0.0000
-0.6395 0.0000 8.3115
Nd Ge Ru
6 2 2
Direct
0.0454 0.0454 0.3020
0.2390 0.2390 0.6878
0.3831 0.3831 0.0653
0.6169 0.6169 0.9347
0.7610 0.7610 0.3122
0.9546 0.9546 0.6980
0.4084 0.4084 0.4480
0.5916 0.5916 0.5520
0.1957 0.1957 0.0911
0.8043 0.8043 0.9089
```

## Properties
Symmetry: C2/m, No. 12
Magnetic moment: 0.0 Bohr magnetons per cell
DFT formation energy: -0.414 eV/atom
D(E_F): 0.743 states/eV/atom
Crystal system: monoclinic



This record from Alexandria describes a relaxed MnInNi3 crystal. The functional is PBE-GGA.

Cell and atoms, written as POSCAR:
```
MnInNi3
1.0
4.3612 0.0000 0.0000
0.0000 4.3612 0.0000
0.0000 0.0000 4.3612
Mn In Ni
1 1 3
Direct
0.0000 0.0000 0.0000
0.5000 0.5000 0.5000
0.0000 0.0000 0.5000
0.0000 0.5000 0.0000
0.5000 0.0000 0.0000
```

## Properties
Symmetry: Pm-3m, No. 221
Magnetic moment: 4.8 Bohr magnetons per cell
DFT formation energy: 0.796 eV/atom
Distance to the lowest polymorph of the same formula: 0.0 kJ/mol of atoms
D(E_F): 0.944 states/eV/atom
Crystal system: cubic



This record from Alexandria describes a relaxed Na2TaCu crystal. The functional is PBE-GGA.

Cell and atoms, written as POSCAR:
```
Na2TaCu
1.0
0.0000 3.4127 3.4127
3.4127 0.0000 3.4127
3.4127 3.4127 0.0000
Na Ta Cu
2 1 1
Direct
0.2500 0.2500 0.2500
0.7500 0.7500 0.7500
0.0000 0.0000 0.0000
0.5000 0.5000 0.5000
```

## Properties
Symmetry: Fm-3m, No. 225
Magnetic moment: 0.0 Bohr magnetons per cell
DFT formation energy: 1.459 eV/atom
Distance to the lowest polymorph of the same formula: 19.8 kJ/mol of atoms
D(E_F): 0.625 states/eV/atom
Crystal system: cubic



This record from Alexandria describes a relaxed TlNiSbI2 crystal. The functional is PBE-GGA.

Cell and atoms, written as POSCAR:
```
TlNiSbI2
1.0
5.7162 0.0000 0.0000
0.0000 5.7162 0.0000
0.0000 0.0000 4.8213
Tl Ni Sb I
1 1 1 2
Direct
0.0000 0.0000 0.0000
0.5000 0.5000 0.5000
0.5000 0.5000 0.0000
0.0000 0.5000 0.5000
0.5000 0.0000 0.5000
```

## Properties
Symmetry: P4/mmm, No. 123
Magnetic moment: 0.0 Bohr magnetons per cell
Raw formation energy: 0.02 eV per atom
Distance to the lowest polymorph of the same formula: 0.0 kJ/mol of atoms
D(E_F): 0.662 states/eV/atom
Crystal system: tetragonal



This record from Alexandria describes a relaxed PmAgSe2O8 crystal. The functional is PBE-GGA.

Cell and atoms, written as POSCAR:
```
PmAgSe2O8
1.0
-2.5994 2.5994 5.9107
2.5994 -2.5994 5.9107
2.5994 2.5994 -5.9107
Pm Ag Se O
1 1 2 8
Direct
0.0000 0.0000 0.0000
0.2500 0.7500 0.5000
0.5000 0.5000 0.0000
0.7500 0.2500 0.5000
0.2879 0.6664 0.1014
0.3336 0.4350 0.6216
0.4315 0.0471 0.1375
0.5650 0.1865 0.8986
0.7060 0.5685 0.6156
0.8135 0.7121 0.3784
0.9096 0.2940 0.8625
0.9529 0.0904 0.3844
```

## Properties
Symmetry: I-4, No. 82
Magnetic moment: 0.0 Bohr magnetons per cell
Raw formation energy: -1.20 eV per atom
D(E_F): 0.000 states/eV/atom
Crystal system: tetragonal



This record from Alexandria describes a relaxed Sm3Dy6Ho2Er crystal. The functional is PBE-GGA.

Cell and atoms, written as POSCAR:
```
Sm3Dy6Ho2Er
1.0
3.0812 -5.3332 0.0000
3.0812 5.3332 0.0000
-2.0447 0.0000 11.6014
Sm Dy Ho Er
3 6 2 1
Direct
0.0000 0.0000 0.0000
0.3333 0.6667 0.0000
0.6667 0.3333 0.0000
0.0840 0.4172 0.2530
0.2496 0.2496 0.7471
0.4172 0.0840 0.2530
0.5828 0.9160 0.7470
0.7504 0.7504 0.2529
0.9160 0.5828 0.7470
0.1666 0.8334 0.5000
0.8334 0.1666 0.5000
0.5000 0.5000 0.5000
```

## Properties
Symmetry: C2/m, No. 12
Magnetic moment: 0.0 Bohr magnetons per cell
DFT formation energy: 0.017 eV/atom
D(E_F): 1.289 states/eV/atom
Crystal system: monoclinic



This record from Alexandria describes a relaxed NaTeS3 crystal. The functional is PBE-GGA.

Cell and atoms, written as POSCAR:
```
NaTeS3
1.0
5.1042 0.0000 0.0000
0.0000 5.1042 0.0000
0.0000 0.0000 5.1042
Na Te S
1 1 3
Direct
0.0000 0.0000 0.0000
0.5000 0.5000 0.5000
0.0000 0.5000 0.5000
0.5000 0.0000 0.5000
0.5000 0.5000 0.0000
```

## Properties
Symmetry: Pm-3m, No. 221
Magnetic moment: 0.0 Bohr magnetons per cell
Raw formation energy: 0.02 eV per atom
Distance to the lowest polymorph of the same formula: 20.2 kJ/mol of atoms
D(E_F): 0.793 states/eV/atom
Crystal system: cubic



Which value of magnetic moment does entry 2 give? 0.0 Bohr magnetons per cell